#one
A plane-wave DFT calculation with GGA-PBE was carried out for a geometry-optimized TmThZn4 structure.

The space group is I-4m2 (No. 119) and the conventional cell measures 4.126, 4.126 and 15.153 Å, with angles of 90.00, 90.00 and 90.00 degrees. The distinct sites, in fractional coordinates, are Tm at (0.000, 0.000, 0.000), Th at (0.000, 0.500, 0.250), Zn at (0.000, 0.000, 0.420) and Zn at (0.000, 0.500, 0.666).

The calculation puts the calculated volume at 21.500 A^3/atom. Its total magnetization is 0.001 μB/cell. The density of states at the Fermi level is 1.19 states/eV/atom.

#two
A plane-wave DFT calculation with GGA-PBE was carried out for a geometry-optimized TmThZn4 structure.

The space group is F-43m (No. 216) and the conventional cell measures 7.775, 7.775 and 7.775 Å, with angles of 90.00, 90.00 and 90.00 degrees. The distinct sites, in fractional coordinates, are Tm at (0.000, 0.000, 0.000), Th at (0.250, 0.250, 0.250) and Zn at (0.126, 0.126, 0.626).

The calculation puts the calculated volume at 19.585 A^3/atom. Its total magnetization is 0.000 μB/cell. The density of states at the Fermi level is 0.72 states/eV/atom.

Which of them is most stable? Easy: #two.

#one
A plane-wave DFT calculation with GGA-PBE was carried out for a geometry-optimized Tm2ThZn3 structure.

The space group is P-3m1 (No. 164) and the conventional cell measures 5.0681, 5.0681 and 6.1798 Å, with angles of 90.00, 90.00 and 120.00 degrees. The distinct sites, in fractional coordinates, are Tm at (0.3333, 0.6667, 0.1577), Th at (0.0000, 0.0000, 0.5000), Zn at (0.0000, 0.0000, 0.0000) and Zn at (0.3333, 0.6667, 0.6664).

The calculation puts the calculated volume at 22.911 A^3/atom. Its total magnetization is 0.000 μB/cell. The density of states at the Fermi level is 1.17 states/eV/atom.

#two
A plane-wave DFT calculation with GGA-PBE was carried out for a geometry-optimized Tm2ThZn3 structure.

The space group is P4/mmm (No. 123) and the conventional cell measures 3.534, 3.534 and 10.908 Å, with angles of 90.00, 90.00 and 90.00 degrees. The distinct sites, in fractional coordinates, are Tm at (0.000, 0.000, 0.160), Th at (0.000, 0.000, 0.500), Zn at (0.500, 0.500, 0.000) and Zn at (0.500, 0.500, 0.315).

The calculation puts the calculated volume at 22.705 A^3/atom. Its total magnetization is 0.000 μB/cell. The density of states at the Fermi level is 1.09 states/eV/atom.

Which of them is most stable? Easy: #two.

#one
A plane-wave DFT calculation with GGA-PBE was carried out for a geometry-optimized TmThZr structure.

The space group is P-6m2 (No. 187) and the conventional cell measures 5.3882, 5.3882 and 3.4160 Å, with angles of 90.00, 90.00 and 120.00 degrees. The distinct sites, in fractional coordinates, are Tm at (0.0000, 0.0000, 0.0000), Th at (0.6667, 0.3333, 0.5000) and Zr at (0.3333, 0.6667, 0.0000).

The calculation puts the calculated volume at 28.630 A^3/atom. Its total magnetization is 0.000 μB/cell. The density of states at the Fermi level is 1.26 states/eV/atom.

#two
A plane-wave DFT calculation with GGA-PBE was carried out for a geometry-optimized TmThZr structure.

The space group is Pmma (No. 51) and the conventional cell measures 6.208, 3.316 and 8.373 Å, with angles of 90.00, 90.00 and 90.00 degrees. The distinct sites, in fractional coordinates, are Tm at (0.000, 0.000, 0.000), Th at (0.250, 0.000, 0.359) and Zr at (0.250, 0.500, 0.698).

The calculation puts the calculated volume at 28.725 A^3/atom. Its total magnetization is 0.000 μB/cell. The density of states at the Fermi level is 1.77 states/eV/atom.

#three
A plane-wave DFT calculation with GGA-PBE was carried out for a geometry-optimized TmThZr structure.

The space group is P2_1/m (No. 11) and the conventional cell measures 3.364, 4.990 and 10.344 Å, with angles of 90.00, 99.34 and 90.00 degrees. The distinct sites, in fractional coordinates, are Tm at (0.133, 0.250, 0.267), Th at (0.454, 0.250, 0.906) and Zr at (0.287, 0.250, 0.575).

The calculation puts the calculated volume at 28.557 A^3/atom. Its total magnetization is 0.000 μB/cell. The density of states at the Fermi level is 1.61 states/eV/atom.

#four
A plane-wave DFT calculation with GGA-PBE was carried out for a geometry-optimized TmThZr structure.

The space group is I4mm (No. 107) and the conventional cell measures 3.376, 3.376 and 14.919 Å, with angles of 90.00, 90.00 and 90.00 degrees. The distinct sites, in fractional coordinates, are Tm at (0.000, 0.000, 0.000), Th at (0.000, 0.000, 0.681) and Zr at (0.000, 0.000, 0.344).

The calculation puts the calculated volume at 28.336 A^3/atom. Its total magnetization is 0.000 μB/cell. The density of states at the Fermi level is 1.13 states/eV/atom.

Which of them is most stable? Easy: #four.